Al4InTc | PBE | optimized geometry

abc: 7.317 7.317 7.317
angles: 90.00 90.00 90.00
Space group F-43m (No. 216)
Asymmetric unit:
Al 0.123 0.123 0.377 [16 per cell]
In 0.000 0.000 0.000 [4 per cell]
Tc 0.250 0.250 0.750 [4 per cell]

Formation enthalpy at 0 K = 0.08 eV per atom
Volume = 16.32 Å³ per atom


AlPO3 | PBE | optimized geometry

abc: 3.605 3.605 3.605
angles: 90.00 90.00 90.00
Space group Pm-3m (No. 221)
Asymmetric unit:
Al 0.000 0.000 0.000 [1 per cell]
P 0.500 0.500 0.500 [1 per cell]
O 0.000 0.500 0.500 [3 per cell]

Formation energy from raw total energies = -0.8808 eV per atom
Volume = 9.37 Å³ per atom


Mn3W | PBE | optimized geometry

abc: 3.568 3.568 15.832
angles: 90.00 90.00 90.00
Space group I4/mmm (No. 139)
Asymmetric unit:
Mn 0.000 0.000 0.125 [4 per cell]
Mn 0.000 0.500 0.000 [4 per cell]
Mn 0.000 0.500 0.250 [4 per cell]
W 0.000 0.000 0.375 [4 per cell]

Formation enthalpy at 0 K = 0.18 eV per atom
Volume = 12.60 Å³ per atom